The following is a DFT calculation (PBE) of a relaxed structure of TbSmAlRh.

Cell and atoms, written as POSCAR:
```
TbSmAlRh
1.0
5.055 0.000 0.000
2.528 4.378 0.000
2.528 1.459 4.127
Rh Tb Al Sm
1 1 1 1
Direct
0.000 0.000 0.000
0.250 0.250 0.250
0.500 0.500 0.500
0.750 0.750 0.750
```

Its formation enthalpy at 0 K is -0.49 eV per atom. Its total moment is 0.00 μB per cell. Its electronic total energy is -5.606 eV/atom.

The following is a DFT calculation (PBE) of a relaxed structure of Sm2TiAl2Rh5.

Cell and atoms, written as POSCAR:
```
Sm2TiAl2Rh5
1.0
3.387 0.000 0.000
0.000 10.102 0.000
0.000 0.000 10.102
Sm Ti Al Rh
4 2 4 10
Direct
0.000 0.674 0.174
0.000 0.326 0.826
0.000 0.174 0.326
0.000 0.826 0.674
0.000 0.000 0.000
0.000 0.500 0.500
0.000 0.126 0.626
0.000 0.874 0.374
0.000 0.626 0.874
0.000 0.374 0.126
0.500 0.202 0.064
0.500 0.798 0.936
0.500 0.064 0.798
0.500 0.702 0.436
0.500 0.936 0.202
0.500 0.298 0.564
0.500 0.564 0.702
0.500 0.436 0.298
0.500 0.500 0.000
0.500 0.000 0.500
```

Its formation enthalpy at 0 K is -0.81 eV per atom. Its total moment is 0.00 μB per cell. Its electronic total energy is -6.963 eV/atom.

The following is a DFT calculation (PBE) of a relaxed structure of Sm2Al2TlRh5.

Cell and atoms, written as POSCAR:
```
Sm2Al2TlRh5
1.0
3.581 0.000 0.000
0.000 10.029 0.000
0.000 0.000 10.029
Sm Al Tl Rh
4 4 2 10
Direct
0.000 0.678 0.178
0.000 0.322 0.822
0.000 0.178 0.322
0.000 0.822 0.678
0.000 0.120 0.620
0.000 0.880 0.380
0.000 0.620 0.880
0.000 0.380 0.120
0.000 0.000 0.000
0.000 0.500 0.500
0.500 0.214 0.069
0.500 0.786 0.931
0.500 0.069 0.786
0.500 0.714 0.431
0.500 0.931 0.214
0.500 0.286 0.569
0.500 0.569 0.714
0.500 0.431 0.286
0.500 0.500 0.000
0.500 0.000 0.500
```

Its formation enthalpy at 0 K is -0.71 eV per atom. Its total moment is 0.00 μB per cell. Its electronic total energy is -6.318 eV/atom.

The following is a DFT calculation (PBE) of a relaxed structure of SmTmAlRh.

Cell and atoms, written as POSCAR:
```
SmTmAlRh
1.0
5.012 0.000 0.000
2.506 4.340 0.000
2.506 1.447 4.092
Tm Rh Al Sm
1 1 1 1
Direct
0.250 0.250 0.250
0.000 0.000 0.000
0.500 0.500 0.500
0.750 0.750 0.750
```

Its formation enthalpy at 0 K is -0.53 eV per atom. Its total moment is 0.00 μB per cell. Its electronic total energy is -5.597 eV/atom.

The following is a DFT calculation (PBE) of a relaxed structure of SmYAlRh.

Cell and atoms, written as POSCAR:
```
SmYAlRh
1.0
-0.521 4.730 1.696
-1.389 0.829 4.786
3.326 1.879 3.306
Y Rh Al Sm
1 1 1 1
Direct
0.750 0.750 0.750
0.500 0.500 0.500
0.000 0.000 0.000
0.250 0.250 0.250
```

Its formation enthalpy at 0 K is -0.51 eV per atom. Its total moment is 0.00 μB per cell. Its electronic total energy is -6.076 eV/atom.

The following is a DFT calculation (PBE) of a relaxed structure of Sm2Al2ZnRh5.

Cell and atoms, written as POSCAR:
```
Sm2Al2ZnRh5
1.0
3.444 0.000 0.000
0.000 9.976 0.000
0.000 0.000 9.976
Sm Al Zn Rh
4 4 2 10
Direct
0.000 0.675 0.175
0.000 0.325 0.825
0.000 0.175 0.325
0.000 0.825 0.675
0.000 0.124 0.624
0.000 0.876 0.376
0.000 0.624 0.876
0.000 0.376 0.124
0.000 0.000 0.000
0.000 0.500 0.500
0.500 0.204 0.065
0.500 0.796 0.935
0.500 0.065 0.796
0.500 0.704 0.435
0.500 0.935 0.204
0.500 0.296 0.565
0.500 0.565 0.704
0.500 0.435 0.296
0.500 0.500 0.000
0.500 0.000 0.500
```

Its formation enthalpy at 0 K is -0.73 eV per atom. Its total moment is 0.00 μB per cell. Its electronic total energy is -6.224 eV/atom.

The following is a DFT calculation (PBE) of a relaxed structure of Sm2AlZn2Rh5.

Cell and atoms, written as POSCAR:
```
Sm2AlZn2Rh5
1.0
-3.483 -0.132 0.408
1.040 -7.288 6.530
0.602 6.602 7.273
Sm Al Zn Rh
4 2 4 10
Direct
0.000 0.673 0.173
0.000 0.327 0.827
0.000 0.173 0.327
0.000 0.827 0.673
0.000 0.000 0.000
0.000 0.500 0.500
0.000 0.127 0.627
0.000 0.873 0.373
0.000 0.627 0.873
0.000 0.373 0.127
0.500 0.198 0.062
0.500 0.802 0.938
0.500 0.062 0.802
0.500 0.698 0.438
0.500 0.938 0.198
0.500 0.302 0.562
0.500 0.562 0.698
0.500 0.438 0.302
0.500 0.500 0.000
0.500 0.000 0.500
```

Its formation enthalpy at 0 K is -0.63 eV per atom. Its total moment is 0.00 μB per cell. Its electronic total energy is -5.880 eV/atom.

The following is a DFT calculation (PBE) of a relaxed structure of AlSnRh2.

Cell and atoms, written as POSCAR:
```
AlSnRh2
1.0
3.422 0.000 0.000
0.000 4.260 0.000
0.000 0.000 4.260
Rh Sn Al
2 1 1
Direct
0.000 0.000 0.500
0.000 0.500 0.000
0.500 0.000 0.000
0.500 0.500 0.500
```

Its formation enthalpy at 0 K is -0.64 eV per atom. Its total moment is 0.00 μB per cell. Its electronic total energy is -6.254 eV/atom.

Copy entry 7 word for word.
The following is a DFT calculation (PBE) of a relaxed structure of Sm2AlZn2Rh5.

Cell and atoms, written as POSCAR:
```
Sm2AlZn2Rh5
1.0
-3.483 -0.132 0.408
1.040 -7.288 6.530
0.602 6.602 7.273
Sm Al Zn Rh
4 2 4 10
Direct
0.000 0.673 0.173
0.000 0.327 0.827
0.000 0.173 0.327
0.000 0.827 0.673
0.000 0.000 0.000
0.000 0.500 0.500
0.000 0.127 0.627
0.000 0.873 0.373
0.000 0.627 0.873
0.000 0.373 0.127
0.500 0.198 0.062
0.500 0.802 0.938
0.500 0.062 0.802
0.500 0.698 0.438
0.500 0.938 0.198
0.500 0.302 0.562
0.500 0.562 0.698
0.500 0.438 0.302
0.500 0.500 0.000
0.500 0.000 0.500
```

Its formation enthalpy at 0 K is -0.63 eV per atom. Its total moment is 0.00 μB per cell. Its electronic total energy is -5.880 eV/atom.